This record from the Alexandria database describes a relaxed structure of MnOs2O6. The functional is GGA+U.

Computed properties:
VASP energy ... -7.724 eV/atom

abc: 8.725 8.725 4.437
angles: 90.00 90.00 120.00
Fractional coordinates of all 27 atoms:
Mn: 0.000 0.000 0.000
Mn: 0.333 0.667 0.498
Mn: 0.667 0.333 0.502
Os: 0.000 0.343 0.000
Os: 0.000 0.677 0.500
Os: 0.323 0.323 0.500
Os: 0.343 0.000 0.000
Os: 0.657 0.657 0.000
Os: 0.677 0.000 0.500
O: 0.099 0.557 0.250
O: 0.114 0.233 0.244
O: 0.119 0.886 0.244
O: 0.211 0.432 0.746
O: 0.221 0.789 0.746
O: 0.233 0.114 0.756
O: 0.432 0.211 0.254
O: 0.443 0.542 0.250
O: 0.458 0.901 0.250
O: 0.542 0.443 0.750
O: 0.557 0.099 0.750
O: 0.568 0.779 0.746
O: 0.767 0.881 0.244
O: 0.779 0.568 0.254
O: 0.789 0.221 0.254
O: 0.881 0.767 0.756
O: 0.886 0.119 0.756
O: 0.901 0.458 0.750